[1]
Density functional theory data (PBE-GGA) for an optimized crystal structure of AcNd2Cd2Hg2.

abc: 5.043 5.043 9.947
angles: 75.32 75.32 60.00
Fractional positions:
Ac: 0.000 0.000 0.000
Hg: 0.407 0.407 0.779
Hg: 0.593 0.593 0.221
Nd: 0.127 0.127 0.619
Nd: 0.873 0.873 0.381
Cd: 0.254 0.254 0.238
Cd: 0.746 0.746 0.762

Properties
ΔE_f: -2.09 eV/f.u.

***

[2]
Density functional theory data (PBE-GGA) for an optimized crystal structure of AcCdHg2O.

abc: 4.217 4.217 14.353
angles: 90.00 90.00 90.00
Fractional positions:
Hg: 0.500 0.000 0.262
Hg: 0.000 0.500 0.738
Hg: 0.000 0.500 0.158
Hg: 0.500 0.000 0.842
Cd: 0.500 0.000 0.051
Cd: 0.000 0.500 0.949
O: 0.500 0.500 0.500
O: 0.000 0.000 0.500
Ac: 0.000 0.500 0.411
Ac: 0.500 0.000 0.589

Properties
uncorrected formation energy: -1.272 eV/atom

***

[3]
Density functional theory data (PBE-GGA) for an optimized crystal structure of Ac2CdHgO5.

abc: 6.179 7.323 7.323
angles: 90.00 90.00 90.00
Site moments in Bohr magnetons follow the coordinates.
Fractional positions:
O: 0.266 0.632 0.868  0.17
O: 0.266 0.132 0.632  0.17
O: 0.734 0.368 0.132  0.17
O: 0.266 0.368 0.132  0.17
O: 0.734 0.868 0.368  0.17
O: 0.266 0.868 0.368  0.17
O: 0.500 0.000 0.000  -0.03
O: 0.500 0.500 0.500  -0.03
O: 0.734 0.632 0.868  0.17
O: 0.734 0.132 0.632  0.17
Cd: 0.000 0.000 0.500  0.08
Cd: 0.000 0.500 0.000  0.08
Hg: 0.000 0.000 0.000  0.01
Hg: 0.000 0.500 0.500  0.01
Ac: 0.500 0.178 0.322  0.02
Ac: 0.500 0.322 0.822  0.02
Ac: 0.500 0.678 0.178  0.02
Ac: 0.500 0.822 0.678  0.02

Properties
uncorrected formation energy: -1.844 eV/atom

***

[4]
Density functional theory data (PBE-GGA) for an optimized crystal structure of Ac4CdHg2Pb.

abc: 5.757 5.757 10.103
angles: 73.45 73.45 60.00
Site moments in Bohr magnetons follow the coordinates.
Fractional positions:
Ac: 0.624 0.624 0.127  0.09
Ac: 0.875 0.875 0.376  0.08
Ac: 0.376 0.376 0.873  0.09
Ac: 0.125 0.125 0.624  0.08
Hg: 0.756 0.756 0.733  0.02
Hg: 0.244 0.244 0.267  0.02
Pb: 0.000 0.000 0.000  0.00
Cd: 0.500 0.500 0.500  0.01

Properties
ΔE_f: -3.39 eV/f.u.

***

[5]
Density functional theory data (PBE-GGA) for an optimized crystal structure of AcCdHgPb.

abc: 4.970 4.971 5.982
angles: 114.55 114.55 90.00
Fractional positions:
Hg: 0.500 0.500 0.000
Ac: 0.250 0.750 0.500
Cd: 0.000 0.000 0.000
Pb: 0.750 0.250 0.500

Properties
excess energy over the best structure of this formula in the dataset: 0.00 kcal/mol of atoms
ΔE_f: -1.42 eV/f.u.

***

[6]
Density functional theory data (PBE-GGA) for an optimized crystal structure of AcCd2Hg5Pb.

abc: 5.527 5.527 8.416
angles: 90.00 90.00 90.00
Fractional positions:
Pb: 0.000 0.000 0.000
Ac: 0.000 0.000 0.500
Hg: 0.500 0.000 0.743
Hg: 0.500 0.500 0.500
Hg: 0.000 0.500 0.257
Hg: 0.000 0.500 0.743
Hg: 0.500 0.000 0.257
Cd: 0.500 0.500 0.841
Cd: 0.500 0.500 0.159

Properties
ΔE_f: -0.71 eV/f.u.

***

[7]
Density functional theory data (PBE-GGA) for an optimized crystal structure of AcCdHgPb.

abc: 5.523 5.523 5.523
angles: 60.00 60.00 60.00
Fractional positions:
Cd: 0.750 0.750 0.750
Hg: 0.250 0.250 0.250
Ac: 0.500 0.500 0.500
Pb: 0.000 0.000 0.000

Properties
excess energy over the best structure of this formula in the dataset: 0.86 kcal/mol of atoms
ΔE_f: -1.27 eV/f.u.

***

[8]
Density functional theory data (PBE-GGA) for an optimized crystal structure of Ac3Cd2HgPd6.

abc: 5.930 5.930 9.245
angles: 90.00 90.00 120.00
Fractional positions:
Cd: 0.333 0.667 0.014
Cd: 0.667 0.333 0.986
Pd: 0.650 0.825 0.271
Pd: 0.175 0.825 0.271
Pd: 0.825 0.650 0.729
Pd: 0.350 0.175 0.729
Pd: 0.825 0.175 0.729
Pd: 0.175 0.350 0.271
Ac: 0.333 0.667 0.621
Ac: 0.667 0.333 0.379
Ac: 0.000 0.000 0.000
Hg: 0.000 0.000 0.500

Properties
ΔE_f: -7.28 eV/f.u.

***

[9]
Density functional theory data (PBE-GGA) for an optimized crystal structure of Ac2CdHg3Pd6.

abc: 4.148 4.148 17.962
angles: 90.00 90.00 90.00
Fractional positions:
Hg: 0.000 0.000 0.300
Hg: 0.000 0.000 0.000
Hg: 0.000 0.000 0.700
Pd: 0.000 0.000 0.148
Pd: 0.000 0.000 0.852
Pd: 0.000 0.500 0.600
Pd: 0.500 0.000 0.400
Pd: 0.500 0.000 0.600
Pd: 0.000 0.500 0.400
Ac: 0.500 0.500 0.200
Ac: 0.500 0.500 0.800
Cd: 0.500 0.500 0.500

Properties
ΔE_f: -3.30 eV/f.u.

***

[10]
Density functional theory data (PBE-GGA) for an optimized crystal structure of Ac2CdHgPd6.

abc: 5.840 9.251 9.253
angles: 36.80 71.59 89.97
Fractional positions:
Pd: 0.248 0.753 0.988
Pd: 0.753 0.763 0.496
Pd: 0.764 0.753 0.988
Pd: 0.236 0.247 0.012
Pd: 0.752 0.247 0.012
Pd: 0.247 0.237 0.504
Ac: 0.213 0.787 0.575
Ac: 0.787 0.213 0.425
Hg: 0.500 0.500 0.000
Cd: 0.000 0.000 0.000

Properties
ΔE_f: -4.50 eV/f.u.

***

[11]
Density functional theory data (PBE-GGA) for an optimized crystal structure of Ac2CdHg2Pd5.

abc: 3.980 10.569 10.569
angles: 90.00 90.00 90.00
Fractional positions:
Pd: 0.500 0.949 0.196
Pd: 0.500 0.551 0.696
Pd: 0.500 0.500 0.000
Pd: 0.500 0.449 0.304
Pd: 0.500 0.051 0.804
Pd: 0.500 0.804 0.949
Pd: 0.500 0.196 0.051
Pd: 0.500 0.000 0.500
Pd: 0.500 0.696 0.449
Pd: 0.500 0.304 0.551
Ac: 0.000 0.325 0.825
Ac: 0.000 0.675 0.175
Ac: 0.000 0.175 0.325
Ac: 0.000 0.825 0.675
Cd: 0.000 0.500 0.500
Cd: 0.000 0.000 0.000
Hg: 0.000 0.624 0.876
Hg: 0.000 0.876 0.376
Hg: 0.000 0.376 0.124
Hg: 0.000 0.124 0.624

Properties
ΔE_f: -4.55 eV/f.u.

***

[12]
Density functional theory data (PBE-GGA) for an optimized crystal structure of Ac3Cd2HgPd9.

abc: 6.821 6.821 9.849
angles: 90.00 90.00 120.00
Fractional positions:
Pd: 0.130 0.870 0.268
Pd: 0.500 0.500 0.000
Pd: 0.261 0.130 0.732
Pd: 0.000 0.500 0.000
Pd: 0.739 0.870 0.268
Pd: 0.500 0.000 0.000
Pd: 0.870 0.130 0.732
Pd: 0.870 0.739 0.732
Pd: 0.130 0.261 0.268
Ac: 0.000 0.000 0.000
Ac: 0.333 0.667 0.748
Ac: 0.667 0.333 0.252
Cd: 0.667 0.333 0.818
Cd: 0.333 0.667 0.182
Hg: 0.000 0.000 0.500

Properties
ΔE_f: -4.92 eV/f.u.

***

[13]
Density functional theory data (PBE-GGA) for an optimized crystal structure of AcCd2HgPd2.

abc: 5.158 5.158 6.049
angles: 90.00 90.00 90.00
Fractional positions:
Pd: 0.500 0.500 0.735
Pd: 0.500 0.500 0.265
Cd: 0.000 0.500 0.000
Cd: 0.500 0.000 0.000
Ac: 0.000 0.000 0.500
Hg: 0.000 0.000 0.000

Properties
ΔE_f: 0.36 eV/f.u.

***

[14]
Density functional theory data (PBE-GGA) for an optimized crystal structure of Ac4CdHg2Pd.

abc: 5.672 5.672 9.713
angles: 73.02 73.02 60.00
Fractional positions:
Ac: 0.131 0.131 0.608
Ac: 0.869 0.869 0.392
Ac: 0.617 0.617 0.149
Ac: 0.383 0.383 0.851
Cd: 0.000 0.000 0.000
Hg: 0.258 0.258 0.227
Hg: 0.742 0.742 0.773
Pd: 0.500 0.500 0.500

Properties
ΔE_f: -3.96 eV/f.u.

***

[15]
Density functional theory data (PBE-GGA) for an optimized crystal structure of AcCdHgPd3.

abc: 6.794 6.007 7.380
angles: 114.02 90.00 90.00
Fractional positions:
Pd: 0.750 0.855 0.710
Pd: 0.000 0.733 0.000
Pd: 0.500 0.267 0.000
Pd: 0.250 0.145 0.290
Pd: 0.500 0.733 0.000
Pd: 0.000 0.267 0.000
Ac: 0.750 0.340 0.679
Ac: 0.250 0.660 0.321
Hg: 0.250 0.895 0.791
Hg: 0.750 0.105 0.209
Cd: 0.250 0.356 0.713
Cd: 0.750 0.644 0.287

Properties
ΔE_f: -2.20 eV/f.u.

***

[16]
Density functional theory data (PBE-GGA) for an optimized crystal structure of AcCdHgPd2.

abc: 5.913 5.884 7.543
angles: 112.96 90.00 90.00
Fractional positions:
Pd: 0.712 0.654 0.307
Pd: 0.288 0.154 0.307
Pd: 0.288 0.346 0.693
Pd: 0.712 0.846 0.693
Ac: 0.763 0.250 0.500
Ac: 0.237 0.750 0.500
Cd: 0.500 0.750 0.000
Cd: 0.500 0.250 0.000
Hg: 0.000 0.000 0.000
Hg: 0.000 0.500 0.000

Properties
ΔE_f: -2.45 eV/f.u.

***

[17]
Density functional theory data (PBE-GGA) for an optimized crystal structure of AcPmCdHg.

abc: 5.585 5.585 5.585
angles: 60.00 60.00 60.00
Site moments in Bohr magnetons follow the coordinates.
Fractional positions:
Cd: 0.750 0.750 0.750  0.01
Ac: 0.000 0.000 0.000  0.11
Hg: 0.250 0.250 0.250  0.02
Pm: 0.500 0.500 0.500  0.22

Properties
excess energy over the best structure of this formula in the dataset: 0.51 kcal/mol of atoms
ΔE_f: -1.43 eV/f.u.

***

[18]
Density functional theory data (PBE-GGA) for an optimized crystal structure of AcPmCdHg.

abc: 3.925 3.925 7.942
angles: 90.00 90.00 90.00
Site moments in Bohr magnetons follow the coordinates.
Fractional positions:
Pm: 0.500 0.500 0.604  0.15
Ac: 0.500 0.500 0.108  0.10
Hg: 0.000 0.000 0.384  0.01
Cd: 0.000 0.000 0.832  0.01

Properties
excess energy over the best structure of this formula in the dataset: 0.00 kcal/mol of atoms
ΔE_f: -1.52 eV/f.u.

***

[19]
Density functional theory data (PBE-GGA) for an optimized crystal structure of Ac2PmCd3Hg12.

abc: 13.108 13.108 13.108
angles: 31.22 31.22 31.22
Fractional positions:
Hg: 0.872 0.419 0.872
Hg: 0.872 0.872 0.419
Hg: 0.407 0.846 0.407
Hg: 0.419 0.872 0.872
Hg: 0.593 0.593 0.154
Hg: 0.128 0.128 0.581
Hg: 0.581 0.128 0.128
Hg: 0.128 0.581 0.128
Hg: 0.154 0.593 0.593
Hg: 0.407 0.407 0.846
Hg: 0.846 0.407 0.407
Hg: 0.593 0.154 0.593
Cd: 0.000 0.000 0.500
Cd: 0.000 0.500 0.000
Cd: 0.500 0.000 0.000
Pm: 0.000 0.000 0.000
Ac: 0.635 0.635 0.635
Ac: 0.365 0.365 0.365

Properties
ΔE_f: -2.51 eV/f.u.

***

[20]
Density functional theory data (PBE-GGA) for an optimized crystal structure of AcPm2Cd2Hg2.

abc: 5.032 5.032 9.897
angles: 75.27 75.27 60.00
Fractional positions:
Cd: 0.253 0.253 0.241
Cd: 0.747 0.747 0.759
Hg: 0.408 0.408 0.775
Hg: 0.592 0.592 0.225
Pm: 0.127 0.127 0.618
Pm: 0.873 0.873 0.382
Ac: 0.000 0.000 0.000

Properties
ΔE_f: -2.07 eV/f.u.

***

In the order shown, the computed total moment values come out to 0.00; 0.00; 1.71; 1.08; 0.00; 0.00; 0.00; 0.00; 0.00; 0.00; 0.00; 0.00; 0.00; 0.00; 0.00; 0.00; 0.78; 0.60; 0.00; 0.00 μB/cell.